Record 1
Crystalline LiGe6S8 at its relaxed geometry, computed with PBE-GGA.

```
LiGe6S8
1.0
5.466 3.156 3.776
-5.466 3.156 3.776
0.000 -6.311 3.776
Li Ge S
1 6 8
Direct
0.000 0.000 0.000 Li
0.170 0.525 0.386 Ge
0.386 0.170 0.525 Ge
0.475 0.614 0.830 Ge
0.525 0.386 0.170 Ge
0.614 0.830 0.475 Ge
0.830 0.475 0.614 Ge
0.129 0.402 0.672 S
0.217 0.217 0.217 S
0.328 0.871 0.598 S
0.402 0.672 0.129 S
0.598 0.328 0.871 S
0.672 0.129 0.402 S
0.783 0.783 0.783 S
0.871 0.598 0.328 S
```

Summary:
Uncorrected formation energy   -0.174 eV/atom

***

Record 2
Crystalline K3Ti3VS8 at its relaxed geometry, computed with PBE-GGA.

```
K3Ti3VS8
1.0
3.544 2.046 7.487
-3.544 2.046 7.487
0.000 -4.092 7.487
K Ti V S
3 3 1 8
Direct
0.000 0.500 0.500 K
0.500 0.000 0.500 K
0.500 0.500 0.000 K
0.000 0.000 0.500 Ti
0.000 0.500 0.000 Ti
0.500 0.000 0.000 Ti
0.500 0.500 0.500 V
0.227 0.729 0.729 S
0.229 0.229 0.229 S
0.271 0.271 0.773 S
0.271 0.773 0.271 S
0.729 0.227 0.729 S
0.729 0.729 0.227 S
0.771 0.771 0.771 S
0.773 0.271 0.271 S
```

Summary:
Uncorrected formation energy   -1.299 eV/atom

***

Record 3
Crystalline Cu2TcMo at its relaxed geometry, computed with PBE-GGA.

```
Cu2TcMo
1.0
2.599 0.000 0.000
0.000 3.952 0.000
0.000 0.000 5.390
Cu Tc Mo
2 1 1
Direct
0.000 0.000 0.000 Cu
0.500 0.500 0.223 Cu
0.500 0.500 0.738 Tc
0.000 0.000 0.488 Mo
```

Summary:
Energy of formation   0.233 eV per atom

***

Values for DFT total energy, Ry per atom, ordered as above
-0.320, -0.434, -0.523